Entry 1:
DFT (PBE) results for a relaxed structure of La3Pm3TmTe8.

Geometry as POSCAR:
```
La3Pm3TmTe8
1.0
4.485 2.589 7.404
-4.485 2.589 7.404
0.000 -5.179 7.404
La Pm Tm Te
3 3 1 8
Direct
0.000 0.500 0.500 La
0.500 0.000 0.500 La
0.500 0.500 0.000 La
0.000 0.000 0.500 Pm
0.000 0.500 0.000 Pm
0.500 0.000 0.000 Pm
0.500 0.500 0.500 Tm
0.248 0.248 0.248 Te
0.250 0.745 0.745 Te
0.255 0.255 0.750 Te
0.255 0.750 0.255 Te
0.745 0.250 0.745 Te
0.745 0.745 0.250 Te
0.750 0.255 0.255 Te
0.752 0.752 0.752 Te
```

Calculated values
SG: No. 166
Formation energy (no corrections): -1.50 eV/atom
DOS(E_F): 0.525 states/eV/atom
DFT total energy: -5.409 eV/atom

=====

Entry 2:
DFT (PBE) results for a relaxed structure of Nd6SmIn6.

Geometry as POSCAR:
```
Nd6SmIn6
1.0
6.388 0.000 0.000
-3.194 5.532 0.000
0.000 0.000 11.145
Nd Sm In
6 1 6
Direct
0.000 0.000 0.166 Nd
0.000 0.000 0.834 Nd
0.333 0.667 0.000 Nd
0.333 0.667 0.500 Nd
0.667 0.333 0.000 Nd
0.667 0.333 0.500 Nd
0.000 0.000 0.500 Sm
0.000 0.500 0.254 In
0.000 0.500 0.746 In
0.500 0.000 0.254 In
0.500 0.000 0.746 In
0.500 0.500 0.254 In
0.500 0.500 0.746 In
```

Calculated values
SG: No. 191
DOS(E_F): 1.176 states/eV/atom
DFT total energy: -4.167 eV/atom
Energy of formation: -4.41 eV/f.u.

=====

Entry 3:
DFT (PBE) results for a relaxed structure of La4PrPd2.

Geometry as POSCAR:
```
La4PrPd2
1.0
8.095 0.000 0.000
0.000 6.576 0.000
-3.413 0.000 7.939
La Pr Pd
8 2 4
Direct
0.038 0.250 0.462 La
0.180 0.518 0.187 La
0.180 0.982 0.187 La
0.353 0.250 0.892 La
0.647 0.750 0.108 La
0.820 0.018 0.813 La
0.820 0.482 0.813 La
0.962 0.750 0.538 La
0.397 0.750 0.626 Pr
0.603 0.250 0.374 Pr
0.229 0.750 0.892 Pd
0.436 0.250 0.605 Pd
0.564 0.750 0.395 Pd
0.771 0.250 0.108 Pd
```

Calculated values
SG: No. 11
DOS(E_F): 1.221 states/eV/atom
DFT total energy: -5.316 eV/atom
Energy of formation: -2.33 eV/f.u.

=====

Entry 4:
DFT (PBE) results for a relaxed structure of Ba8Au3I4N.

Geometry as POSCAR:
```
Ba8Au3I4N
1.0
4.681 2.703 8.658
-4.681 2.703 8.658
0.000 -5.406 8.658
Ba Au I N
8 3 4 1
Direct
0.237 0.237 0.237 Ba
0.267 0.711 0.711 Ba
0.289 0.289 0.733 Ba
0.289 0.733 0.289 Ba
0.711 0.267 0.711 Ba
0.711 0.711 0.267 Ba
0.733 0.289 0.289 Ba
0.763 0.763 0.763 Ba
0.000 0.000 0.500 Au
0.000 0.500 0.000 Au
0.500 0.000 0.000 Au
0.000 0.000 0.000 I
0.000 0.500 0.500 I
0.500 0.000 0.500 I
0.500 0.500 0.000 I
0.500 0.500 0.500 N
```

Calculated values
SG: No. 166
Formation energy (no corrections): -1.01 eV/atom
DOS(E_F): 0.483 states/eV/atom
DFT total energy: -3.491 eV/atom

=====

Entry 5:
DFT (PBE) results for a relaxed structure of Ba2NaSb2.

Geometry as POSCAR:
```
Ba2NaSb2
1.0
-2.541 3.769 4.938
2.541 -3.769 4.938
2.541 3.769 -4.938
Ba Na Sb
2 1 2
Direct
0.197 0.197 0.000 Ba
0.803 0.803 0.000 Ba
0.500 0.000 0.500 Na
0.232 0.500 0.732 Sb
0.768 0.500 0.268 Sb
```

Calculated values
SG: No. 71
Formation energy (no corrections): -0.83 eV/atom
DOS(E_F): 0.332 states/eV/atom
DFT total energy: -3.514 eV/atom

=====

Entry 6:
DFT (PBE) results for a relaxed structure of K2InBr.

Geometry as POSCAR:
```
K2InBr
1.0
6.121 0.000 0.000
0.000 6.121 0.000
0.000 0.000 4.018
K In Br
2 1 1
Direct
0.000 0.500 0.000 K
0.500 0.000 0.000 K
0.000 0.000 0.500 In
0.500 0.500 0.500 Br
```

Calculated values
SG: No. 123
Formation energy (no corrections): -0.60 eV/atom
DOS(E_F): 0.616 states/eV/atom
DFT total energy: -2.255 eV/atom